one) The following is a PBE-GGA calculation of ScCoAsSe2 after structural relaxation, from Alexandria.

Lattice parameters (Å, degrees): 5.080 5.080 5.112 90.00 90.00 90.00
Space group P4/mmm (No. 123)
Inequivalent atoms, fractional coordinates:
Sc (0.000, 0.000, 0.000) [1 per cell]
Co (0.500, 0.500, 0.500) [1 per cell]
As (0.000, 0.000, 0.500) [1 per cell]
Se (0.000, 0.500, 0.000) [2 per cell]

Results
- Total magnetization: 2.633 Bohr magnetons per cell

two) The following is a PBE-GGA calculation of ScCoAsSe2 after structural relaxation, from Alexandria.

Lattice parameters (Å, degrees): 4.881 4.881 4.290 90.00 90.00 90.00
Space group P4/mmm (No. 123)
Inequivalent atoms, fractional coordinates:
Sc (0.000, 0.000, 0.000) [1 per cell]
Co (0.500, 0.500, 0.500) [1 per cell]
As (0.500, 0.500, 0.000) [1 per cell]
Se (0.000, 0.500, 0.500) [2 per cell]

Results
- Total magnetization: 0.000 Bohr magnetons per cell

Of them, two) has the highest stability.

one) The following is a PBE-GGA calculation of CoAs3Se after structural relaxation, from Alexandria.

Lattice parameters (Å, degrees): 4.940 4.940 4.940 90.00 90.00 90.00
Space group Pm-3m (No. 221)
Inequivalent atoms, fractional coordinates:
Co (0.000, 0.000, 0.000) [1 per cell]
As (0.000, 0.500, 0.500) [3 per cell]
Se (0.500, 0.500, 0.500) [1 per cell]

Results
- Total magnetization: 1.996 Bohr magnetons per cell

two) The following is a PBE-GGA calculation of CoAs3Se after structural relaxation, from Alexandria.

Lattice parameters (Å, degrees): 4.605 4.605 4.605 90.00 90.00 90.00
Space group Pm-3m (No. 221)
Inequivalent atoms, fractional coordinates:
Co (0.000, 0.000, 0.000) [1 per cell]
As (0.000, 0.000, 0.500) [3 per cell]
Se (0.500, 0.500, 0.500) [1 per cell]

Results
- Total magnetization: 0.000 Bohr magnetons per cell

Of them, two) has the highest stability.

one) The following is a PBE-GGA calculation of CoAsSe3 after structural relaxation, from Alexandria.

Lattice parameters (Å, degrees): 4.996 4.996 4.996 90.00 90.00 90.00
Space group Pm-3m (No. 221)
Inequivalent atoms, fractional coordinates:
Co (0.000, 0.000, 0.000) [1 per cell]
As (0.500, 0.500, 0.500) [1 per cell]
Se (0.000, 0.500, 0.500) [3 per cell]

Results
- Total magnetization: 2.876 Bohr magnetons per cell

two) The following is a PBE-GGA calculation of CoAsSe3 after structural relaxation, from Alexandria.

Lattice parameters (Å, degrees): 4.662 4.662 4.662 90.00 90.00 90.00
Space group Pm-3m (No. 221)
Inequivalent atoms, fractional coordinates:
Co (0.000, 0.000, 0.000) [1 per cell]
As (0.500, 0.500, 0.500) [1 per cell]
Se (0.000, 0.000, 0.500) [3 per cell]

Results
- Total magnetization: 0.847 Bohr magnetons per cell

Of them, two) has the highest stability.

one) The following is a PBE-GGA calculation of CoSiAsSe2 after structural relaxation, from Alexandria.

Lattice parameters (Å, degrees): 4.886 4.886 4.289 90.00 90.00 90.00
Space group P4/mmm (No. 123)
Inequivalent atoms, fractional coordinates:
Co (0.000, 0.000, 0.000) [1 per cell]
Si (0.500, 0.500, 0.500) [1 per cell]
As (0.000, 0.000, 0.500) [1 per cell]
Se (0.000, 0.500, 0.000) [2 per cell]

Results
- Total magnetization: 0.000 Bohr magnetons per cell

two) The following is a PBE-GGA calculation of CoSiAsSe2 after structural relaxation, from Alexandria.

Lattice parameters (Å, degrees): 4.793 4.793 4.246 90.00 90.00 90.00
Space group P4/mmm (No. 123)
Inequivalent atoms, fractional coordinates:
Co (0.000, 0.000, 0.000) [1 per cell]
Si (0.000, 0.000, 0.500) [1 per cell]
As (0.500, 0.500, 0.500) [1 per cell]
Se (0.000, 0.500, 0.000) [2 per cell]

Results
- Total magnetization: 0.000 Bohr magnetons per cell

Of them, two) has the highest stability.

one) The following is a PBE-GGA calculation of CoSnAsSe2 after structural relaxation, from Alexandria.

Lattice parameters (Å, degrees): 5.045 5.045 4.308 90.00 90.00 90.00
Space group P4/mmm (No. 123)
Inequivalent atoms, fractional coordinates:
Co (0.000, 0.000, 0.000) [1 per cell]
Sn (0.500, 0.500, 0.500) [1 per cell]
As (0.000, 0.000, 0.500) [1 per cell]
Se (0.000, 0.500, 0.000) [2 per cell]

Results
- Total magnetization: 0.000 Bohr magnetons per cell

two) The following is a PBE-GGA calculation of CoSnAsSe2 after structural relaxation, from Alexandria.

Lattice parameters (Å, degrees): 5.278 5.278 5.195 90.00 90.00 90.00
Space group P4/mmm (No. 123)
Inequivalent atoms, fractional coordinates:
Co (0.000, 0.000, 0.000) [1 per cell]
Sn (0.500, 0.500, 0.500) [1 per cell]
As (0.500, 0.500, 0.000) [1 per cell]
Se (0.000, 0.500, 0.500) [2 per cell]

Results
- Total magnetization: 3.205 Bohr magnetons per cell

Of them, one) has the highest stability.

one) The following is a PBE-GGA calculation of SrCoAs2Se after structural relaxation, from Alexandria.

Lattice parameters (Å, degrees): 5.554 5.554 5.587 90.00 90.00 90.00
Space group P4/mmm (No. 123)
Inequivalent atoms, fractional coordinates:
Sr (0.000, 0.000, 0.000) [1 per cell]
Co (0.500, 0.500, 0.500) [1 per cell]
As (0.000, 0.500, 0.000) [2 per cell]
Se (0.000, 0.000, 0.500) [1 per cell]

Results
- Total magnetization: 0.207 Bohr magnetons per cell

two) The following is a PBE-GGA calculation of SrCoAs2Se after structural relaxation, from Alexandria.

Lattice parameters (Å, degrees): 4.531 4.531 5.522 90.00 90.00 90.00
Space group P4/mmm (No. 123)
Inequivalent atoms, fractional coordinates:
Sr (0.000, 0.000, 0.000) [1 per cell]
Co (0.500, 0.500, 0.500) [1 per cell]
As (0.000, 0.500, 0.500) [2 per cell]
Se (0.500, 0.500, 0.000) [1 per cell]

Results
- Total magnetization: 0.406 Bohr magnetons per cell

Of them, two) has the highest stability.